5
Lattice="4.2194 0.0000 0.0000 0.0000 4.2194 0.0000 0.0000 0.0000 5.1987" Properties=species:S:1:pos:R:3 comment="BiPIO2, optimized geometry, DFT GGA-PBE" space_group="P4/mmm (123)" e_above_lowest_polymorph_kj_per_mol_atoms=20.9 vol_a3_per_atom=18.511 magmom_total_mub_per_cell=0.0 dos_ef_per_ev_fu=1.74 mass_density_g_cm3=7.16 pbc="T T T"
Bi 0.0000 0.0000 0.0000
P 2.1097 2.1097 2.5994
I 2.1097 2.1097 0.0000
O 0.0000 2.1097 2.5994
O 2.1097 0.0000 2.5994

10
Lattice="8.0100 0.0000 0.0000 0.0000 5.2183 0.0000 -1.5294 0.0000 8.8180" Properties=species:S:1:pos:R:3 comment="RbSrZnSe2, optimized geometry, DFT GGA-PBE" space_group="P2/c (13)" vol_a3_per_atom=36.858 magmom_total_mub_per_cell=0.0 dos_ef_per_ev_fu=2.55 mass_density_g_cm3=3.57 final_energy_ev_per_atom=-3.142 pbc="T T T"
Rb -0.3824 0.8664 2.2045
Rb -1.1471 4.3520 6.6135
Sr 2.8579 2.5576 6.6135
Sr 3.6226 2.6608 2.2045
Zn 4.0050 0.0000 0.0000
Zn 3.2403 0.0000 4.4090
Se 0.6518 1.5868 8.5241
Se 1.4165 3.6316 4.1151
Se 5.0641 1.5868 4.7029
Se 5.8288 3.6316 0.2939